The following is a DFT calculation (PBE) of an optimized crystal structure of LaZrBe.

Output
energy above the most stable polymorph in this dataset: 268 meV per atom
DFT formation energy: 43.59 kJ/mol of atoms

Cell lengths 6.6296, 6.6296, 6.6296 Å; angles 90.00, 90.00, 90.00 degrees
Space group F-43m (No. 216)
Inequivalent atoms, fractional coordinates:
La: 0.0000 0.0000 0.0000
Zr: 0.0000 0.0000 0.5000
Be: 0.2500 0.2500 0.7500

=====

The following is a DFT calculation (PBE) of an optimized crystal structure of La2ZrBe.

Output
DFT formation energy: 11.91 kJ/mol of atoms

Cell lengths 3.4692, 3.4692, 8.5199 Å; angles 90.00, 90.00, 90.00 degrees
Space group P4mm (No. 99)
Inequivalent atoms, fractional coordinates:
La: 0.0000 0.0000 0.0000
La: 0.5000 0.5000 0.3465
Zr: 0.0000 0.0000 0.6262
Be: 0.5000 0.5000 0.7689

=====

The following is a DFT calculation (PBE) of an optimized crystal structure of LaZr2Be.

Output
DFT formation energy: 12.69 kJ/mol of atoms

Cell lengths 3.3903, 5.1548, 10.4465 Å; angles 90.00, 90.00, 90.00 degrees
Space group Immm (No. 71)
Inequivalent atoms, fractional coordinates:
La: 0.0000 0.0000 0.0000
Zr: 0.0000 0.5000 0.2033
Be: 0.0000 0.0000 0.5000

=====

The following is a DFT calculation (PBE) of an optimized crystal structure of LaZr2Be.

Output
DFT formation energy: 23.46 kJ/mol of atoms

Cell lengths 3.4110, 3.4110, 27.0287 Å; angles 90.00, 90.00, 120.00 degrees
Space group R-3m (No. 166, hexagonal axes)
Inequivalent atoms, fractional coordinates:
La: 0.0000 0.0000 0.0000
Zr: 0.0000 0.0000 0.2285
Be: 0.0000 0.0000 0.5000

=====

The following is a DFT calculation (PBE) of an optimized crystal structure of La2ZrBe.

Output
DFT formation energy: 24.31 kJ/mol of atoms

Cell lengths 3.4931, 4.8153, 6.6057 Å; angles 90.00, 105.14, 90.00 degrees
Space group Pm (No. 6)
Inequivalent atoms, fractional coordinates:
La: 0.0000 0.0000 0.0000
La: 0.3017 0.5000 0.6147
Zr: 0.5964 0.5000 0.1924
Be: 0.6994 0.0000 0.4095

=====

The following is a DFT calculation (PBE) of an optimized crystal structure of LaZr2Be.

Output
DFT formation energy: 9.18 kJ/mol of atoms

Cell lengths 3.2466, 3.2466, 8.2624 Å; angles 90.00, 90.00, 90.00 degrees
Space group P4/mmm (No. 123)
Inequivalent atoms, fractional coordinates:
La: 0.0000 0.0000 0.0000
Zr: 0.5000 0.5000 0.3113
Be: 0.0000 0.0000 0.5000

=====

The following is a DFT calculation (PBE) of an optimized crystal structure of Li3Be.

Output
energy above the most stable polymorph in this dataset: 0 meV per atom
DFT formation energy: 15.88 kJ/mol of atoms

Cell lengths 7.7791, 7.4014, 4.1029 Å; angles 90.00, 90.00, 90.00 degrees
Space group Cmcm (No. 63)
Inequivalent atoms, fractional coordinates:
Li: 0.0000 0.2050 0.2500
Li: 0.2201 0.1181 0.7500
Be: 0.0000 0.4359 0.7500

=====

The following is a DFT calculation (PBE) of an optimized crystal structure of Li3Be.

Output
energy above the most stable polymorph in this dataset: 86 meV per atom
DFT formation energy: 24.19 kJ/mol of atoms

Cell lengths 4.4386, 4.4386, 2.9377 Å; angles 90.00, 90.00, 90.00 degrees
Space group P4/mmm (No. 123)
Inequivalent atoms, fractional coordinates:
Li: 0.0000 0.0000 0.0000
Li: 0.0000 0.5000 0.5000
Be: 0.5000 0.5000 0.0000

=====

The following is a DFT calculation (PBE) of an optimized crystal structure of Li2Be.

Output
energy above the most stable polymorph in this dataset: 504 meV per atom
DFT formation energy: 58.38 kJ/mol of atoms

Cell lengths 5.9947, 5.9947, 5.9947 Å; angles 90.00, 90.00, 90.00 degrees
Space group Fm-3m (No. 225)
Inequivalent atoms, fractional coordinates:
Li: 0.2500 0.2500 0.2500
Be: 0.0000 0.0000 0.0000

=====

The following is a DFT calculation (PBE) of an optimized crystal structure of Li5Be.

Output
energy above the most stable polymorph in this dataset: 0 meV per atom
DFT formation energy: 13.98 kJ/mol of atoms

Cell lengths 2.8923, 2.8923, 12.0082 Å; angles 90.00, 90.00, 90.00 degrees
Space group P4/mmm (No. 123)
Inequivalent atoms, fractional coordinates:
Li: 0.0000 0.0000 0.0000
Li: 0.0000 0.0000 0.3732
Li: 0.5000 0.5000 0.1913
Be: 0.5000 0.5000 0.5000

=====

The following is a DFT calculation (PBE) of an optimized crystal structure of Li5Be.

Output
energy above the most stable polymorph in this dataset: 24 meV per atom
DFT formation energy: 16.26 kJ/mol of atoms

Cell lengths 4.6979, 2.6012, 15.6887 Å; angles 90.00, 90.00, 90.00 degrees
Space group Amm2 (No. 38)
Inequivalent atoms, fractional coordinates:
Li: 0.0000 0.0000 0.0000
Li: 0.0000 0.0000 0.3085
Li: 0.5000 0.0000 0.2199
Li: 0.5000 0.0000 0.5691
Li: 0.5000 0.0000 0.8951
Be: 0.0000 0.0000 0.6556

=====

The following is a DFT calculation (PBE) of an optimized crystal structure of LiBe2.

Output
energy above the most stable polymorph in this dataset: 7 meV per atom
DFT formation energy: 8.41 kJ/mol of atoms

Cell lengths 4.4168, 4.4168, 7.2854 Å; angles 90.00, 90.00, 120.00 degrees
Space group P6_3/mmc (No. 194)
Inequivalent atoms, fractional coordinates:
Li: 0.3333 0.6667 0.0578
Be: 0.0000 0.0000 0.0000
Be: 0.1645 0.3289 0.7500

=====

The following is a DFT calculation (PBE) of an optimized crystal structure of Li8Be.

Output
DFT formation energy: 10.56 kJ/mol of atoms

Cell lengths 8.9727, 8.9727, 3.9072 Å; angles 90.00, 90.00, 90.00 degrees
Space group I4/mmm (No. 139)
Inequivalent atoms, fractional coordinates:
Li: 0.0000 0.3224 0.0000
Li: 0.1537 0.1537 0.5000
Be: 0.0000 0.0000 0.0000

=====

The following is a DFT calculation (PBE) of an optimized crystal structure of LiBe12.

Output
DFT formation energy: 5.81 kJ/mol of atoms

Cell lengths 7.4151, 7.4151, 4.1258 Å; angles 90.00, 90.00, 90.00 degrees
Space group I4/mmm (No. 139)
Inequivalent atoms, fractional coordinates:
Li: 0.0000 0.0000 0.0000
Be: 0.0000 0.2228 0.5000
Be: 0.0000 0.3547 0.0000
Be: 0.2500 0.2500 0.2500

=====

The following is a DFT calculation (PBE) of an optimized crystal structure of Li2Be.

Output
energy above the most stable polymorph in this dataset: 247 meV per atom
DFT formation energy: 33.63 kJ/mol of atoms

Cell lengths 4.3522, 4.3522, 5.0223 Å; angles 90.00, 90.00, 120.00 degrees
Space group P6_3/mmc (No. 194)
Inequivalent atoms, fractional coordinates:
Li: 0.0000 0.0000 0.0000
Li: 0.3333 0.6667 0.2500
Be: 0.3333 0.6667 0.7500

=====

The following is a DFT calculation (PBE) of an optimized crystal structure of Li2Be.

Output
energy above the most stable polymorph in this dataset: 305 meV per atom
DFT formation energy: 39.22 kJ/mol of atoms

Cell lengths 4.9398, 4.9398, 7.4159 Å; angles 90.00, 90.00, 120.00 degrees
Space group P6_3/mmc (No. 194)
Inequivalent atoms, fractional coordinates:
Li: 0.0000 0.0000 0.0000
Li: 0.1802 0.3604 0.2500
Be: 0.3333 0.6667 0.5964

=====

The following is a DFT calculation (PBE) of an optimized crystal structure of Li3Be.

Output
energy above the most stable polymorph in this dataset: 86 meV per atom
DFT formation energy: 24.20 kJ/mol of atoms

Cell lengths 3.8869, 3.8869, 3.8869 Å; angles 90.00, 90.00, 90.00 degrees
Space group Pm-3m (No. 221)
Inequivalent atoms, fractional coordinates:
Li: 0.0000 0.0000 0.5000
Be: 0.5000 0.5000 0.5000

=====

The following is a DFT calculation (PBE) of an optimized crystal structure of LiBe2.

Output
energy above the most stable polymorph in this dataset: 84 meV per atom
DFT formation energy: 15.82 kJ/mol of atoms

Cell lengths 2.6457, 2.6457, 8.5885 Å; angles 90.00, 90.00, 90.00 degrees
Space group I4/mmm (No. 139)
Inequivalent atoms, fractional coordinates:
Li: 0.0000 0.0000 0.0000
Be: 0.0000 0.0000 0.3091

=====

The following is a DFT calculation (PBE) of an optimized crystal structure of Li3Be.

Output
energy above the most stable polymorph in this dataset: 53 meV per atom
DFT formation energy: 20.97 kJ/mol of atoms

Cell lengths 9.2237, 2.6027, 4.8756 Å; angles 90.00, 98.83, 90.00 degrees
Space group C2/m (No. 12)
Inequivalent atoms, fractional coordinates:
Li: 0.0000 0.0000 0.0000
Li: 0.2396 0.0000 0.7315
Be: 0.0000 0.5000 0.5000

=====

The following is a DFT calculation (PBE) of an optimized crystal structure of Li3Be4.

Output
DFT formation energy: 13.96 kJ/mol of atoms

Cell lengths 2.6624, 2.6624, 22.2338 Å; angles 90.00, 90.00, 90.00 degrees
Space group I4/mmm (No. 139)
Inequivalent atoms, fractional coordinates:
Li: 0.0000 0.0000 0.0000
Li: 0.0000 0.0000 0.3024
Be: 0.0000 0.0000 0.1195
Be: 0.0000 0.0000 0.4239

=====

The following is a DFT calculation (PBE) of an optimized crystal structure of Li4Be5.

Output
energy above the most stable polymorph in this dataset: 20 meV per atom
DFT formation energy: 26.47 kJ/mol of atoms

Cell lengths 6.9253, 6.9253, 4.5352 Å; angles 90.00, 90.00, 120.00 degrees
Space group P6_3/mcm (No. 193)
Inequivalent atoms, fractional coordinates:
Li: 0.0000 0.0000 0.0000
Li: 0.0000 0.3004 0.2500
Be: 0.0000 0.3922 0.7500
Be: 0.3333 0.6667 0.0000

=====

The following is a DFT calculation (PBE) of an optimized crystal structure of LiBe2.

Output
energy above the most stable polymorph in this dataset: 179 meV per atom
DFT formation energy: 24.95 kJ/mol of atoms

Cell lengths 3.8142, 3.8142, 4.5177 Å; angles 90.00, 90.00, 120.00 degrees
Space group P6_3/mmc (No. 194)
Inequivalent atoms, fractional coordinates:
Li: 0.3333 0.6667 0.2500
Be: 0.0000 0.0000 0.0000
Be: 0.3333 0.6667 0.7500

=====

The following is a DFT calculation (PBE) of an optimized crystal structure of LiBe2.

Output
energy above the most stable polymorph in this dataset: 9 meV per atom
DFT formation energy: 8.58 kJ/mol of atoms

Cell lengths 6.2430, 6.2430, 6.2430 Å; angles 90.00, 90.00, 90.00 degrees
Space group Fd-3m (No. 227, origin choice 2)
Inequivalent atoms, fractional coordinates:
Li: 0.1250 0.1250 0.1250
Be: 0.0000 0.0000 0.5000

=====

The following is a DFT calculation (PBE) of an optimized crystal structure of LiBe2.

Output
energy above the most stable polymorph in this dataset: 62 meV per atom
DFT formation energy: 13.67 kJ/mol of atoms

Cell lengths 3.8580, 7.9418, 3.7222 Å; angles 90.00, 90.00, 90.00 degrees
Space group Cmcm (No. 63)
Inequivalent atoms, fractional coordinates:
Li: 0.0000 0.0871 0.2500
Be: 0.0000 0.2640 0.7500
Be: 0.0000 0.4163 0.2500

=====

The following is a DFT calculation (PBE) of an optimized crystal structure of LiBe2.

Output
energy above the most stable polymorph in this dataset: 46 meV per atom
DFT formation energy: 12.16 kJ/mol of atoms

Cell lengths 3.8489, 3.8489, 2.1996 Å; angles 90.00, 90.00, 120.00 degrees
Space group P-3m1 (No. 164)
Inequivalent atoms, fractional coordinates:
Li: 0.0000 0.0000 0.0000
Be: 0.3333 0.6667 0.7088

=====

The following is a DFT calculation (PBE) of an optimized crystal structure of Li3Be.

Output
energy above the most stable polymorph in this dataset: 73 meV per atom
DFT formation energy: 22.92 kJ/mol of atoms

Cell lengths 4.0823, 4.0823, 7.0667 Å; angles 90.00, 90.00, 90.00 degrees
Space group I4/mmm (No. 139)
Inequivalent atoms, fractional coordinates:
Li: 0.0000 0.0000 0.0000
Li: 0.0000 0.5000 0.2500
Be: 0.0000 0.0000 0.5000

=====

The following is a DFT calculation (PBE) of an optimized crystal structure of LiBe2.

Output
energy above the most stable polymorph in this dataset: 117 meV per atom
DFT formation energy: 19.02 kJ/mol of atoms

Cell lengths 9.2351, 2.2384, 5.8214 Å; angles 90.00, 104.58, 90.00 degrees
Space group Cm (No. 8)
Inequivalent atoms, fractional coordinates:
Li: 0.0000 0.0000 0.0000
Li: 0.1675 0.5000 0.3433
Be: 0.1155 0.5000 0.7033
Be: 0.2634 0.0000 0.0226
Be: 0.3288 0.0000 0.6695
Be: 0.4239 0.5000 0.4006